DFT (GGA-PBE) results for a geometry-optimized Ho3Ga2Ni6 structure.

Properties
- total energy (eV per atom) = -5.408
- space group = Im-3m (229)
- V (Å³/f.u.) = 175

```
data_Ho3Ga2Ni6
_cell_length_a 7.6841
_cell_length_b 7.6841
_cell_length_c 7.6841
_cell_angle_alpha 109.47
_cell_angle_beta 109.47
_cell_angle_gamma 109.47
_space_group_name_H-M_alt 'P 1'
_space_group_IT_number 1
loop_
_space_group_symop_operation_xyz
'x,y,z'
loop_
_atom_site_label
_atom_site_fract_x
_atom_site_fract_y
_atom_site_fract_z
Ni1 0.6633 0.3266 0.6633
Ni2 0.3367 0.6734 0.3367
Ni3 0.6633 0.3367 0.0000
Ni4 0.0000 0.3367 0.6633
Ni5 0.3266 0.6633 0.6633
Ni6 0.0000 0.6633 0.3367
Ni7 0.6734 0.3367 0.3367
Ni8 0.3367 0.0000 0.6633
Ni9 0.3367 0.3367 0.6734
Ni10 0.3367 0.6633 0.0000
Ni11 0.6633 0.0000 0.3367
Ni12 0.6633 0.6633 0.3266
Ga1 0.5000 0.5000 0.5000
Ga2 0.0000 0.0000 0.5000
Ga3 0.0000 0.5000 0.0000
Ga4 0.5000 0.0000 0.0000
Ho1 0.7088 0.0000 0.7088
Ho2 0.2912 0.0000 0.2912
Ho3 0.2912 0.2912 0.0000
Ho4 0.7088 0.7088 0.0000
Ho5 0.0000 0.7088 0.7088
Ho6 0.0000 0.2912 0.2912
```

***

DFT (GGA-PBE) results for a geometry-optimized PrHoGa2Ni4 structure.

Properties
- total energy (eV per atom) = -5.245
- space group = P-6m2 (187)
- V (Å³/f.u.) = 137

```
data_PrHoGa2Ni4
_cell_length_a 4.1678
_cell_length_b 4.1678
_cell_length_c 9.1324
_cell_angle_alpha 90.00
_cell_angle_beta 90.00
_cell_angle_gamma 120.00
_space_group_name_H-M_alt 'P 1'
_space_group_IT_number 1
loop_
_space_group_symop_operation_xyz
'x,y,z'
loop_
_atom_site_label
_atom_site_fract_x
_atom_site_fract_y
_atom_site_fract_z
Ni1 0.0000 0.0000 0.2968
Ni2 0.0000 0.0000 0.7032
Ni3 0.6667 0.3333 0.8202
Ni4 0.6667 0.3333 0.1798
Ho1 0.0000 0.0000 0.0000
Ga1 0.3333 0.6667 0.7611
Ga2 0.3333 0.6667 0.2389
Pr1 0.6667 0.3333 0.5000
```

***

DFT (GGA-PBE) results for a geometry-optimized Ho2Ga2NiPt3 structure.

Properties
- total energy (eV per atom) = -5.819
- space group = P3m1 (156)
- V (Å³/f.u.) = 146

```
data_Ho2Ga2NiPt3
_cell_length_a 4.3349
_cell_length_b 4.3349
_cell_length_c 8.9731
_cell_angle_alpha 90.00
_cell_angle_beta 90.00
_cell_angle_gamma 120.00
_space_group_name_H-M_alt 'P 1'
_space_group_IT_number 1
loop_
_space_group_symop_operation_xyz
'x,y,z'
loop_
_atom_site_label
_atom_site_fract_x
_atom_site_fract_y
_atom_site_fract_z
Pt1 0.3333 0.6667 0.0737
Pt2 0.3333 0.6667 0.4140
Pt3 0.0000 0.0000 0.5950
Ni1 0.0000 0.0000 0.9226
Ga1 0.6667 0.3333 0.9951
Ga2 0.6667 0.3333 0.5009
Ho1 0.3333 0.6667 0.7525
Ho2 0.0000 0.0000 0.2462
```